(1)
Density functional theory data (GGA-PBE) for a relaxed DyHoCI crystal.

The energy relative to the elements, uncorrected is -0.743 eV per atom. The energy comes out at -5.732 eV per atom.

It has space group R3m (No. 160, hexagonal axes), with a = 3.7524 Å, b = 3.7524 Å, c = 22.2124 Å, α = 90.00°, β = 90.00° and γ = 120.00°. Symmetry generates all atoms from Dy at (0.0000, 0.0000, 0.0000), Ho at (0.0000, 0.0000, 0.7800), C at (0.0000, 0.0000, 0.3927) and I at (0.0000, 0.0000, 0.2228).

***

(2)
Density functional theory data (GGA-PBE) for a relaxed ZnFeRu2 crystal.

The energy comes out at -6.872 eV per atom. For the calculated formation energy, the calculation gives 0.8 eV/f.u.

It has space group Cmmm (No. 65), with a = 2.877 Å, b = 4.468 Å, c = 8.584 Å, α = 90.00°, β = 90.00° and γ = 90.00°. Symmetry generates all atoms from Zn at (0.000, 0.000, 0.000), Fe at (0.000, 0.000, 0.500) and Ru at (0.000, 0.500, 0.258).

***

(3)
Density functional theory data (GGA-PBE) for a relaxed Li6PtAu crystal.

The energy comes out at -2.993 eV per atom. For the calculated formation energy, the calculation gives -3.1 eV/f.u.

It has space group P-6m2 (No. 187), with a = 5.5549 Å, b = 5.5549 Å, c = 4.5275 Å, α = 90.00°, β = 90.00° and γ = 120.00°. Symmetry generates all atoms from Li at (0.0115, 0.5058, 0.0000), Li at (0.3105, 0.1552, 0.5000), Pt at (0.0000, 0.0000, 0.0000) and Au at (0.3333, 0.6667, 0.5000).

***

(4)
Density functional theory data (GGA-PBE) for a relaxed Sc4Tl5Ag2 crystal.

The energy comes out at -4.082 eV per atom. For the calculated formation energy, the calculation gives -2.0 eV/f.u.

It has space group P2/m (No. 10), with a = 8.001 Å, b = 3.348 Å, c = 9.607 Å, α = 90.00°, β = 91.56° and γ = 90.00°. Symmetry generates all atoms from Sc at (0.213, 0.000, 0.361), Sc at (0.227, 0.000, 0.902), Tl at (0.132, 0.500, 0.631), Tl at (0.454, 0.500, 0.161), Tl at (0.500, 0.500, 0.500) and Ag at (0.085, 0.500, 0.127).

***

(5)
Density functional theory data (GGA-PBE) for a relaxed Li3Pm2In3 crystal.

The energy comes out at -3.133 eV per atom. For the calculated formation energy, the calculation gives -1.6 eV/f.u.

It has space group P6_3/mcm (No. 193), with a = 8.9676 Å, b = 8.9676 Å, c = 6.3476 Å, α = 90.00°, β = 90.00° and γ = 120.00°. Symmetry generates all atoms from Li at (0.0000, 0.2832, 0.2500), Pm at (0.3333, 0.6667, 0.0000) and In at (0.0000, 0.3702, 0.7500).

***

(6)
Density functional theory data (GGA-PBE) for a relaxed Y2ZrNb crystal.

The energy comes out at -7.143 eV per atom. For the calculated formation energy, the calculation gives 3.0 eV/f.u.

It has space group I-42d (No. 122), with a = 8.200 Å, b = 8.200 Å, c = 6.235 Å, α = 90.00°, β = 90.00° and γ = 90.00°. Symmetry generates all atoms from Y at (0.232, 0.250, 0.125), Zr at (0.000, 0.000, 0.500) and Nb at (0.000, 0.000, 0.000).

***

Question: Among the records above, which one has the highest energy?
Answer: Li6PtAu

***

Copy entry 4 word for word.
Density functional theory data (GGA-PBE) for a relaxed Sc4Tl5Ag2 crystal.

The energy comes out at -4.082 eV per atom. For the calculated formation energy, the calculation gives -2.0 eV/f.u.

It has space group P2/m (No. 10), with a = 8.001 Å, b = 3.348 Å, c = 9.607 Å, α = 90.00°, β = 91.56° and γ = 90.00°. Symmetry generates all atoms from Sc at (0.213, 0.000, 0.361), Sc at (0.227, 0.000, 0.902), Tl at (0.132, 0.500, 0.631), Tl at (0.454, 0.500, 0.161), Tl at (0.500, 0.500, 0.500) and Ag at (0.085, 0.500, 0.127).

***

Repeat the second record exactly.
Density functional theory data (GGA-PBE) for a relaxed ZnFeRu2 crystal.

The energy comes out at -6.872 eV per atom. For the calculated formation energy, the calculation gives 0.8 eV/f.u.

It has space group Cmmm (No. 65), with a = 2.877 Å, b = 4.468 Å, c = 8.584 Å, α = 90.00°, β = 90.00° and γ = 90.00°. Symmetry generates all atoms from Zn at (0.000, 0.000, 0.000), Fe at (0.000, 0.000, 0.500) and Ru at (0.000, 0.500, 0.258).

***

Question: energy of number 1 (DyHoCI)?
Answer: -5.732 eV per atom